Entry 1:
## Sr2CaCd12Ag3 (PBE-GGA)

Data for crystalline Sr2CaCd12Ag3 at its relaxed geometry.

a b c (Å): 8.6379 8.6379 8.6379
angles (deg): 69.89 69.89 69.89
Last column: nearest neighbours and their distance in Å.
Fractional positions:
Sr  0.0938  0.0938  0.0938  6 Cd 3.24-3.33
Sr  0.9062  0.9062  0.9062  6 Cd 3.24-3.33
Ca  0.5000  0.5000  0.5000  6 Cd 3.15
Cd  0.1107  0.6551  0.6551  1 Ag 2.74
Cd  0.2059  0.2059  0.6695  2 Ag 2.81
Cd  0.2059  0.6695  0.2059  2 Ag 2.81
Cd  0.3305  0.7941  0.7941  2 Ag 2.81
Cd  0.3449  0.3449  0.8893  1 Ag 2.74
Cd  0.3449  0.8893  0.3449  1 Ag 2.74
Cd  0.6551  0.1107  0.6551  1 Ag 2.74
Cd  0.6551  0.6551  0.1107  1 Ag 2.74
Cd  0.6695  0.2059  0.2059  2 Ag 2.81
Cd  0.7941  0.3305  0.7941  2 Ag 2.81
Cd  0.7941  0.7941  0.3305  2 Ag 2.81
Cd  0.8893  0.3449  0.3449  1 Ag 2.74
Ag  0.0000  0.5000  0.5000  6 Cd 2.74-2.81
Ag  0.5000  0.0000  0.5000  6 Cd 2.74-2.81
Ag  0.5000  0.5000  0.0000  6 Cd 2.74-2.81

Computed properties:
* final energy: -1.30 eV per atom
* calculated formation energy: 1.430 eV/f.u.
* symmetry: R-3m, No. 166



Entry 2:
## Nd5Sm4Cd (PBE-GGA)

Data for crystalline Nd5Sm4Cd at its relaxed geometry.

a b c (Å): 8.1731 8.1731 8.1731
angles (deg): 97.73 97.73 136.97
Last column: nearest neighbours and their distance in Å.
Fractional positions:
Nd  0.0000  0.0000  0.0000  2 Cd 2.85-3.15
Nd  0.1084  0.1084  0.6286  1 Cd 3.15, 1 Nd 3.33, 2 Sm 3.38
Nd  0.1084  0.4798  0.0000  1 Cd 3.15, 1 Nd 3.33, 2 Sm 3.38
Nd  0.4798  0.1084  0.0000  1 Cd 3.15, 1 Nd 3.33, 2 Sm 3.38
Nd  0.4798  0.4798  0.3714  1 Cd 3.15, 1 Nd 3.33, 2 Sm 3.38
Sm  0.1258  0.8070  0.3188  3 Nd 3.38-3.62
Sm  0.4881  0.8070  0.6812  3 Nd 3.38-3.62
Sm  0.8070  0.1258  0.3188  3 Nd 3.38-3.62
Sm  0.8070  0.4881  0.6812  3 Nd 3.38-3.62
Cd  0.5249  0.5249  0.0000  6 Nd 2.85-3.15

Computed properties:
* final energy: -4.24 eV per atom
* calculated formation energy: 1.256 eV/f.u.
* symmetry: I4mm, No. 107



Entry 3:
## Ba3Li2CdHg6 (PBE-GGA)

Data for crystalline Ba3Li2CdHg6 at its relaxed geometry.

a b c (Å): 6.8219 6.8219 9.6323
angles (deg): 90.00 90.00 120.00
Last column: nearest neighbours and their distance in Å.
Fractional positions:
Ba  0.0000  0.0000  0.0000  6 Hg 3.39
Ba  0.3333  0.6667  0.6294  9 Hg 3.54-3.87, 1 Li 3.96
Ba  0.6667  0.3333  0.3706  9 Hg 3.54-3.87, 1 Li 3.96
Li  0.3333  0.6667  0.0402  3 Hg 2.87
Li  0.6667  0.3333  0.9598  3 Hg 2.87
Cd  0.0000  0.0000  0.5000  6 Hg 3.06
Hg  0.1814  0.3628  0.2732  1 Li 2.87, 1 Cd 3.06, 2 Hg 3.11
Hg  0.1814  0.8186  0.2732  1 Li 2.87, 1 Cd 3.06, 2 Hg 3.11
Hg  0.3628  0.1814  0.7268  1 Li 2.87, 1 Cd 3.06, 2 Hg 3.11
Hg  0.6372  0.8186  0.2732  1 Li 2.87, 1 Cd 3.06, 2 Hg 3.11
Hg  0.8186  0.1814  0.7268  1 Li 2.87, 1 Cd 3.06, 2 Hg 3.11
Hg  0.8186  0.6372  0.7268  1 Li 2.87, 1 Cd 3.06, 2 Hg 3.11

Computed properties:
* final energy: -1.33 eV per atom
* calculated formation energy: -3.627 eV/f.u.
* symmetry: P-3m1, No. 164



Entry 4:
## RuPbSe (PBE-GGA)

Data for crystalline RuPbSe at its relaxed geometry.

a b c (Å): 13.4019 3.2602 6.1123
angles (deg): 90.00 97.34 90.00
Last column: nearest neighbours and their distance in Å.
Fractional positions:
Ru  0.0000  0.0000  0.0000  4 Se 2.59
Ru  0.0000  0.0000  0.5000  4 Se 2.58
Ru  0.5000  0.5000  0.0000  4 Se 2.59
Ru  0.5000  0.5000  0.5000  4 Se 2.58
Pb  0.1527  0.5000  0.2902  4 Ru 3.01-3.03, 3 Se 3.13-3.33, 2 Pb 3.26
Pb  0.3473  0.0000  0.7098  4 Ru 3.01-3.03, 3 Se 3.13-3.33, 2 Pb 3.26
Pb  0.6527  0.0000  0.2902  4 Ru 3.01-3.03, 3 Se 3.13-3.33, 2 Pb 3.26
Pb  0.8473  0.5000  0.7098  4 Ru 3.01-3.03, 3 Se 3.13-3.33, 2 Pb 3.26
Se  0.0977  0.5000  0.7767  4 Ru 2.58-2.59
Se  0.4023  0.0000  0.2233  4 Ru 2.58-2.59
Se  0.5977  0.0000  0.7767  4 Ru 2.58-2.59
Se  0.9023  0.5000  0.2233  4 Ru 2.58-2.59

Computed properties:
* final energy: -5.51 eV per atom
* energy relative to the elements, uncorrected: -5 kJ/mol of formula units
* symmetry: C2/m, No. 12